Entry from Alexandria: crystalline Tm5Zn2Tc at its relaxed geometry (GGA-PBE).

Mass density in g cm⁻³: 9.53
Final energy in eV/atom: -4.61
V in Å³/atom: 23.38
Total moment in μB per cell: 0.000
Formation energy in eV per atom: -0.203

Lattice parameters (Å, degrees): 6.366 11.938 4.923 90.00 90.00 90.00
Space group Pbam (No. 55)
Inequivalent atoms, fractional coordinates:
Tm 0.000 0.000 0.000 x2
Tm 0.142 0.284 0.000 x4
Tm 0.161 0.605 0.500 x4
Zn 0.129 0.864 0.500 x4
Tc 0.000 0.500 0.000 x2

Entry from Alexandria: crystalline Tm6Zn2Tc at its relaxed geometry (GGA-PBE).

Mass density in g cm⁻³: 9.46
Final energy in eV/atom: -4.58
V in Å³/atom: 24.22
Total moment in μB per cell: 0.000
Formation energy in eV per atom: -0.167

Lattice parameters (Å, degrees): 9.288 9.550 9.831 90.00 90.00 90.00
Space group Immm (No. 71)
Inequivalent atoms, fractional coordinates:
Tm 0.000 0.177 0.249 x8
Tm 0.172 0.500 0.231 x8
Tm 0.237 0.309 0.500 x8
Zn 0.000 0.364 0.000 x4
Zn 0.131 0.000 0.500 x4
Tc 0.000 0.000 0.000 x2
Tc 0.000 0.500 0.500 x2

Entry from Alexandria: crystalline TmZrZnTc at its relaxed geometry (GGA-PBE).

Mass density in g cm⁻³: 9.11
Final energy in eV/atom: -6.40
V in Å³/atom: 19.30
Total moment in μB per cell: 0.000
Formation energy in eV per atom: -0.235

Lattice parameters (Å, degrees): 6.759 6.759 6.759 90.00 90.00 90.00
Space group F-43m (No. 216)
Inequivalent atoms, fractional coordinates:
Tm 0.000 0.000 0.000 x4
Zr 0.000 0.000 0.500 x4
Zn 0.250 0.250 0.250 x4
Tc 0.250 0.250 0.750 x4

Entry from Alexandria: crystalline TmZr5Tc6 at its relaxed geometry (GGA-PBE).

Mass density in g cm⁻³: 9.27
Final energy in eV/atom: -9.39
V in Å³/atom: 18.10
Total moment in μB per cell: 0.000
Formation energy in eV per atom: -0.271

Lattice parameters (Å, degrees): 4.692 6.616 13.996 90.00 90.00 90.00
Space group Immm (No. 71)
Inequivalent atoms, fractional coordinates:
Tm 0.000 0.000 0.000 x2
Zr 0.000 0.000 0.333 x4
Zr 0.000 0.500 0.000 x2
Zr 0.000 0.500 0.333 x4
Tc 0.000 0.243 0.500 x4
Tc 0.000 0.253 0.169 x8